Record 1
Entry from Alexandria: a relaxed Sr4CoNi crystal (PBE-GGA).

Results
Total magnetization, μB/f.u.: 1.0
Crystal system: cubic
Theoretical density, g cm⁻³: 3.41
Formation enthalpy at 0 K, eV/atom: 1.259
VASP energy, eV per atom: -2.01

Cell lengths 9.6928, 9.6928, 9.6928 Å; angles 90.00, 90.00, 90.00 degrees
Last column: nearest neighbours and their distance in Å.
Space group F-43m (No. 216)
Unique sites:
Sr1 0.1250 0.1250 0.1250 x16  6 Sr 3.43
Co1 0.0000 0.0000 0.5000 x4  12 Sr 4.02, 4 Ni 4.20
Ni1 0.2500 0.2500 0.7500 x4  12 Sr 4.02, 4 Co 4.20



Record 2
Entry from Alexandria: a relaxed SrTl2Re crystal (PBE-GGA).

Results
Total magnetization, μB/f.u.: 0.0
Crystal system: orthorhombic
Theoretical density, g cm⁻³: 10.37
Formation enthalpy at 0 K, eV/atom: 0.571
VASP energy, eV per atom: -4.15

Cell lengths 3.2175, 4.6442, 14.6251 Å; angles 90.00, 90.00, 90.00 degrees
Last column: nearest neighbours and their distance in Å.
Space group Imm2 (No. 44)
Unique sites:
Sr1 0.0000 0.0000 0.0000 x2  2 Sr 3.22, 2 Re 3.22, 6 Tl 3.53
Tl1 0.0000 0.0000 0.6443 x2  2 Re 2.90, 2 Tl 3.22
Tl2 0.0000 0.5000 0.8185 x2  4 Re 2.83
Re1 0.0000 0.5000 0.3090 x2  6 Tl 2.83-2.90



Record 3
Entry from Alexandria: a relaxed P2Os crystal (PBE-GGA).

Results
Total magnetization, μB/f.u.: 0.0
Crystal system: monoclinic
Theoretical density, g cm⁻³: 9.84
Formation enthalpy at 0 K, eV/atom: 0.168
VASP energy, eV per atom: -7.18

Cell lengths 11.2326, 3.0682, 5.6074 Å; angles 90.00, 118.31, 90.00 degrees
Last column: nearest neighbours and their distance in Å.
Space group C2/m (No. 12)
Unique sites:
P1 0.1210 0.0000 0.2916 x4  3 P 2.32-2.55, 2 Os 2.38
P2 0.2109 0.0000 0.7594 x4  3 P 2.32-2.55, 3 Os 2.43-2.55
Os1 0.0592 0.5000 0.8183 x4  5 P 2.38-2.55



Record 4
Entry from Alexandria: a relaxed Sr3Ge5Cl12 crystal (PBE-GGA).

Results
Total magnetization, μB/f.u.: 4.1
Crystal system: cubic
Theoretical density, g cm⁻³: 2.85
VASP energy, eV per atom: -3.52
Formation energy without anion corrections, eV per atom: -1.00

Cell lengths 16.9826, 16.9826, 16.9826 Å; angles 90.00, 90.00, 90.00 degrees
Last column: nearest neighbours and their distance in Å.
Space group Ia-3d (No. 230)
Unique sites:
Sr1 0.0000 0.2500 0.1250 x24  8 Cl 3.06-3.23
Ge1 0.0000 0.0000 0.0000 x16  6 Cl 2.80
Ge2 0.0000 0.2500 0.3750 x24  4 Cl 2.74
Cl1 0.0131 0.0622 0.6523 x96  2 Ge 2.74-2.80, 1 Sr 3.06



Record 5
Entry from Alexandria: a relaxed LuZrCdNi crystal (PBE-GGA).

Results
Total magnetization, μB/f.u.: 0.0
Crystal system: cubic
Theoretical density, g cm⁻³: 8.92
Formation enthalpy at 0 K, eV/atom: -0.140
VASP energy, eV per atom: -5.08

Cell lengths 6.8806, 6.8806, 6.8806 Å; angles 90.00, 90.00, 90.00 degrees
Last column: nearest neighbours and their distance in Å.
Space group F-43m (No. 216)
Unique sites:
Lu1 0.0000 0.0000 0.0000 x4  4 Cd 2.98, 4 Ni 2.98
Zr1 0.0000 0.0000 0.5000 x4  4 Ni 2.98, 4 Cd 2.98
Cd1 0.2500 0.2500 0.2500 x4  4 Zr 2.98, 4 Lu 2.98
Ni1 0.2500 0.2500 0.7500 x4  4 Zr 2.98, 4 Lu 2.98



Record 6
Entry from Alexandria: a relaxed Mn3TeH crystal (PBE-GGA).

Results
Total magnetization, μB/f.u.: 8.0
Crystal system: cubic
Theoretical density, g cm⁻³: 8.14
VASP energy, eV per atom: -6.62

Cell lengths 3.9116, 3.9116, 3.9116 Å; angles 90.00, 90.00, 90.00 degrees
Last column: nearest neighbours and their distance in Å.
Space group Pm-3m (No. 221)
Unique sites:
Mn1 0.0000 0.0000 0.5000 x3  2 H 1.96
Te1 0.5000 0.5000 0.5000 x1  12 Mn 2.77
H1 0.0000 0.0000 0.0000 x1  6 Mn 1.96



> Which value of theoretical density does entry 3 give?

9.84 g cm⁻³



> Which formula does entry 1 have?

Sr4CoNi



Please write out number 2 again, unchanged.
Entry from Alexandria: a relaxed SrTl2Re crystal (PBE-GGA).

Results
Total magnetization, μB/f.u.: 0.0
Crystal system: orthorhombic
Theoretical density, g cm⁻³: 10.37
Formation enthalpy at 0 K, eV/atom: 0.571
VASP energy, eV per atom: -4.15

Cell lengths 3.2175, 4.6442, 14.6251 Å; angles 90.00, 90.00, 90.00 degrees
Last column: nearest neighbours and their distance in Å.
Space group Imm2 (No. 44)
Unique sites:
Sr1 0.0000 0.0000 0.0000 x2  2 Sr 3.22, 2 Re 3.22, 6 Tl 3.53
Tl1 0.0000 0.0000 0.6443 x2  2 Re 2.90, 2 Tl 3.22
Tl2 0.0000 0.5000 0.8185 x2  4 Re 2.83
Re1 0.0000 0.5000 0.3090 x2  6 Tl 2.83-2.90